# ZrSe3

A relaxed structure of ZrSe3 (GGA-PBE, Alexandria).

Results
Formation energy without anion corrections (eV per formula unit): -1.31
Calculated volume (A^3/atom): 20.179

Unit cell a=4.137 b=4.137 c=9.430 alpha=90.00 beta=90.00 gamma=90.00
Space group I4/mmm (No. 139)
Unique sites:
1 Zr 0.000 0.000 0.000 x2
2 Se 0.000 0.000 0.500 x2
3 Se 0.000 0.500 0.250 x4

# Zr2Se

A relaxed structure of Zr2Se (GGA-PBE, Alexandria).

Results
Formation energy without anion corrections (eV per formula unit): -2.33
Calculated volume (A^3/atom): 20.072

Unit cell a=7.5740 b=7.5740 c=3.6363 alpha=90.00 beta=90.00 gamma=120.00
Space group P-62m (No. 189)
Unique sites:
1 Zr 0.0000 0.2599 0.0000 x3
2 Zr 0.0000 0.5912 0.5000 x3
3 Se 0.0000 0.0000 0.5000 x1
4 Se 0.3333 0.6667 0.0000 x2

# Zr2Se

A relaxed structure of Zr2Se (GGA-PBE, Alexandria).

Results
Formation energy without anion corrections (eV per formula unit): -1.29
Calculated volume (A^3/atom): 22.437

Unit cell a=4.466 b=4.466 c=3.375 alpha=90.00 beta=90.00 gamma=90.00
Space group P4/mmm (No. 123)
Unique sites:
1 Zr 0.000 0.500 0.000 x2
2 Se 0.000 0.000 0.500 x1

# Zr6Se7

A relaxed structure of Zr6Se7 (GGA-PBE, Alexandria).

Results
Formation energy without anion corrections (eV per formula unit): -5.47
Calculated volume (A^3/atom): 23.044

Unit cell a=6.1388 b=6.1388 c=27.5376 alpha=90.00 beta=90.00 gamma=120.00
Space group R-3m (No. 166, hexagonal axes)
Unique sites:
1 Zr 0.0000 0.0000 0.0568 x6
2 Zr 0.0000 0.0000 0.1899 x6
3 Zr 0.0000 0.0000 0.3339 x6
4 Se 0.0000 0.0000 0.5000 x3
5 Se 0.0032 0.5016 0.0728 x18

# ZrSe5

A relaxed structure of ZrSe5 (GGA-PBE, Alexandria).

Results
Formation energy without anion corrections (eV per formula unit): -1.49
Calculated volume (A^3/atom): 24.607

Unit cell a=5.360 b=14.992 c=3.675 alpha=90.00 beta=90.00 gamma=90.00
Space group Cmmm (No. 65)
Unique sites:
1 Zr 0.000 0.000 0.000 x2
2 Se 0.000 0.136 0.500 x4
3 Se 0.000 0.377 0.000 x4
4 Se 0.000 0.500 0.500 x2

# ZrSe

A relaxed structure of ZrSe (GGA-PBE, Alexandria).

Results
Formation energy without anion corrections (eV per formula unit): -1.79
Calculated volume (A^3/atom): 28.042

Unit cell a=4.3536 b=4.3536 c=20.5002 alpha=90.00 beta=90.00 gamma=120.00
Space group P-3m1 (No. 164)
Unique sites:
1 Zr 0.0000 0.0000 0.1195 x2
2 Zr 0.3333 0.6667 0.2127 x2
3 Zr 0.3333 0.6667 0.4535 x2
4 Se 0.0000 0.0000 0.2548 x2
5 Se 0.3333 0.6667 0.0774 x2
6 Se 0.3333 0.6667 0.5888 x2

# ZrSe

A relaxed structure of ZrSe (GGA-PBE, Alexandria).

Results
Formation energy without anion corrections (eV per formula unit): -2.12
Calculated volume (A^3/atom): 19.774

Unit cell a=5.408 b=5.408 c=5.408 alpha=90.00 beta=90.00 gamma=90.00
Space group P2_13 (No. 198)
Unique sites:
1 Zr 0.095 0.095 0.095 x4
2 Se 0.085 0.585 0.915 x4

# ZrSe

A relaxed structure of ZrSe (GGA-PBE, Alexandria).

Results
Formation energy without anion corrections (eV per formula unit): -0.94
Calculated volume (A^3/atom): 34.040

Unit cell a=7.420 b=7.420 c=7.420 alpha=90.00 beta=90.00 gamma=90.00
Space group Pm-3n (No. 223)
Unique sites:
1 Zr 0.000 0.250 0.500 x6
2 Se 0.000 0.500 0.250 x6

# ZrSe

A relaxed structure of ZrSe (GGA-PBE, Alexandria).

Results
Formation energy without anion corrections (eV per formula unit): -2.17
Calculated volume (A^3/atom): 22.033

Unit cell a=6.011 b=6.347 c=9.240 alpha=90.00 beta=90.00 gamma=90.00
Space group P2_12_12_1 (No. 19)
Unique sites:
1 Zr 0.072 0.111 0.295 x4
2 Zr 0.111 0.325 0.945 x4
3 Se 0.170 0.564 0.699 x4
4 Se 0.220 0.929 0.049 x4

# Zr3Se

A relaxed structure of Zr3Se (GGA-PBE, Alexandria).

Results
Distance to the lowest polymorph of the same formula (kJ/mol of atoms): 43.1
Formation energy without anion corrections (eV per formula unit): -1.01
Calculated volume (A^3/atom): 21.085

Unit cell a=5.173 b=5.898 c=5.529 alpha=90.00 beta=90.00 gamma=90.00
Space group Pmmn (No. 59, origin choice 2)
Unique sites:
1 Zr 0.250 0.000 0.148 x4
2 Zr 0.250 0.250 0.648 x2
3 Se 0.250 0.750 0.631 x2

# ZrSe3

A relaxed structure of ZrSe3 (GGA-PBE, Alexandria).

Results
Formation energy without anion corrections (eV per formula unit): -1.02
Calculated volume (A^3/atom): 22.123

Unit cell a=5.184 b=9.291 c=3.674 alpha=90.00 beta=90.00 gamma=90.00
Space group Cmmm (No. 65)
Unique sites:
1 Zr 0.000 0.000 0.000 x2
2 Se 0.000 0.500 0.000 x2
3 Se 0.250 0.250 0.500 x4

# ZrSe

A relaxed structure of ZrSe (GGA-PBE, Alexandria).

Results
Formation energy without anion corrections (eV per formula unit): -2.25
Calculated volume (A^3/atom): 19.052

Unit cell a=3.365 b=3.365 c=3.365 alpha=90.00 beta=90.00 gamma=90.00
Space group Pm-3m (No. 221)
Unique sites:
1 Zr 0.000 0.000 0.000 x1
2 Se 0.500 0.500 0.500 x1

What is the formation energy without anion corrections in the ninth record?
-2.17 eV per formula unit